[1]
{"formula": "DyPtF7", "functional": "PBEsol", "state": "optimized geometry", "space_group": "No. 14", "e_form_raw_ev_per_atom": -2.607, "lattice": [[8.760, 0.000, 0.000], [0.000, 5.432, 0.000], [-5.500, 0.000, 10.442]], "species": ["Dy", "Dy", "Dy", "Dy", "Pt", "Pt", "Pt", "Pt", "F", "F", "F", "F", "F", "F", "F", "F", "F", "F", "F", "F", "F", "F", "F", "F", "F", "F", "F", "F", "F", "F", "F", "F", "F", "F", "F", "F"], "frac_coords": [[0.186, 0.239, 0.264], [0.186, 0.261, 0.764], [0.814, 0.739, 0.236], [0.814, 0.761, 0.736], [0.272, 0.743, 0.043], [0.272, 0.757, 0.543], [0.728, 0.243, 0.457], [0.728, 0.257, 0.957], [0.022, 0.745, 0.949], [0.022, 0.755, 0.449], [0.033, 0.592, 0.732], [0.033, 0.908, 0.232], [0.254, 0.555, 0.176], [0.254, 0.945, 0.676], [0.275, 0.040, 0.135], [0.275, 0.460, 0.635], [0.278, 0.061, 0.458], [0.278, 0.439, 0.958], [0.296, 0.562, 0.414], [0.296, 0.938, 0.914], [0.479, 0.229, 0.359], [0.479, 0.271, 0.859], [0.521, 0.729, 0.141], [0.521, 0.771, 0.641], [0.704, 0.062, 0.086], [0.704, 0.438, 0.586], [0.722, 0.561, 0.042], [0.722, 0.939, 0.542], [0.725, 0.540, 0.365], [0.725, 0.960, 0.865], [0.746, 0.055, 0.324], [0.746, 0.445, 0.824], [0.967, 0.092, 0.768], [0.967, 0.408, 0.268], [0.978, 0.245, 0.551], [0.978, 0.255, 0.051]]}

=====

[2]
{"formula": "DyFe5", "functional": "PBEsol", "state": "optimized geometry", "formation_energy_mev_per_atom": -29.4, "space_group": "No. 191", "lattice": [[4.872, 0.000, 0.000], [-2.436, 4.219, 0.000], [0.000, 0.000, 3.884]], "species": ["Dy", "Fe", "Fe", "Fe", "Fe", "Fe"], "frac_coords": [[0.000, 0.000, 0.000], [0.000, 0.500, 0.500], [0.333, 0.667, 0.000], [0.500, 0.000, 0.500], [0.500, 0.500, 0.500], [0.667, 0.333, 0.000]]}

=====

[3]
{"formula": "DyFe3", "functional": "PBEsol", "state": "optimized geometry", "formation_energy_mev_per_atom": -61.5, "space_group": "No. 166", "lattice": [[2.476, 1.429, 7.929], [-2.476, 1.429, 7.929], [0.000, -2.859, 7.929]], "species": ["Dy", "Dy", "Dy", "Fe", "Fe", "Fe", "Fe", "Fe", "Fe", "Fe", "Fe", "Fe"], "frac_coords": [[0.000, 0.000, 0.000], [0.142, 0.142, 0.142], [0.858, 0.858, 0.858], [0.081, 0.581, 0.581], [0.333, 0.333, 0.333], [0.419, 0.419, 0.919], [0.419, 0.919, 0.419], [0.500, 0.500, 0.500], [0.581, 0.081, 0.581], [0.581, 0.581, 0.081], [0.667, 0.667, 0.667], [0.919, 0.419, 0.419]]}

=====

[4]
{"formula": "Dy2Fe17", "functional": "PBEsol", "state": "optimized geometry", "formation_energy_mev_per_atom": 15.3, "space_group": "No. 194", "lattice": [[8.170, 0.000, 0.000], [-4.085, 7.075, 0.000], [0.000, 0.000, 8.042]], "species": ["Dy", "Dy", "Dy", "Dy", "Fe", "Fe", "Fe", "Fe", "Fe", "Fe", "Fe", "Fe", "Fe", "Fe", "Fe", "Fe", "Fe", "Fe", "Fe", "Fe", "Fe", "Fe", "Fe", "Fe", "Fe", "Fe", "Fe", "Fe", "Fe", "Fe", "Fe", "Fe", "Fe", "Fe", "Fe", "Fe", "Fe", "Fe"], "frac_coords": [[0.000, 0.000, 0.250], [0.000, 0.000, 0.750], [0.333, 0.667, 0.250], [0.667, 0.333, 0.750], [0.000, 0.500, 0.000], [0.000, 0.500, 0.500], [0.041, 0.370, 0.750], [0.041, 0.671, 0.750], [0.165, 0.331, 0.011], [0.165, 0.331, 0.489], [0.165, 0.835, 0.011], [0.165, 0.835, 0.489], [0.329, 0.370, 0.750], [0.329, 0.959, 0.750], [0.331, 0.165, 0.511], [0.331, 0.165, 0.989], [0.333, 0.667, 0.608], [0.333, 0.667, 0.892], [0.370, 0.041, 0.250], [0.370, 0.329, 0.250], [0.500, 0.000, 0.000], [0.500, 0.000, 0.500], [0.500, 0.500, 0.000], [0.500, 0.500, 0.500], [0.630, 0.671, 0.750], [0.630, 0.959, 0.750], [0.667, 0.333, 0.108], [0.667, 0.333, 0.392], [0.669, 0.835, 0.011], [0.669, 0.835, 0.489], [0.671, 0.041, 0.250], [0.671, 0.630, 0.250], [0.835, 0.165, 0.511], [0.835, 0.165, 0.989], [0.835, 0.669, 0.511], [0.835, 0.669, 0.989], [0.959, 0.329, 0.250], [0.959, 0.630, 0.250]]}

=====

[5]
{"formula": "Dy2Ga8Fe", "functional": "PBEsol", "state": "optimized geometry", "formation_energy_mev_per_atom": -506.2, "space_group": "No. 123", "lattice": [[4.151, 0.000, 0.000], [0.000, 4.151, 0.000], [0.000, 0.000, 10.980]], "species": ["Dy", "Dy", "Ga", "Ga", "Ga", "Ga", "Ga", "Ga", "Ga", "Ga", "Fe"], "frac_coords": [[0.000, 0.000, 0.194], [0.000, 0.000, 0.806], [0.000, 0.500, 0.000], [0.000, 0.500, 0.384], [0.000, 0.500, 0.616], [0.500, 0.000, 0.000], [0.500, 0.000, 0.384], [0.500, 0.000, 0.616], [0.500, 0.500, 0.195], [0.500, 0.500, 0.805], [0.000, 0.000, 0.500]]}

=====

[6]
{"formula": "Dy2Ga3Fe14", "functional": "PBEsol", "state": "optimized geometry", "formation_energy_mev_per_atom": -96.9, "space_group": "No. 194", "lattice": [[8.337, 0.000, 0.000], [-4.169, 7.220, 0.000], [0.000, 0.000, 8.114]], "species": ["Dy", "Dy", "Dy", "Dy", "Ga", "Ga", "Ga", "Ga", "Ga", "Ga", "Fe", "Fe", "Fe", "Fe", "Fe", "Fe", "Fe", "Fe", "Fe", "Fe", "Fe", "Fe", "Fe", "Fe", "Fe", "Fe", "Fe", "Fe", "Fe", "Fe", "Fe", "Fe", "Fe", "Fe", "Fe", "Fe", "Fe", "Fe"], "frac_coords": [[0.000, 0.000, 0.250], [0.000, 0.000, 0.750], [0.333, 0.667, 0.250], [0.667, 0.333, 0.750], [0.000, 0.500, 0.000], [0.000, 0.500, 0.500], [0.500, 0.000, 0.000], [0.500, 0.000, 0.500], [0.500, 0.500, 0.000], [0.500, 0.500, 0.500], [0.028, 0.349, 0.750], [0.028, 0.679, 0.750], [0.164, 0.329, 0.014], [0.164, 0.329, 0.486], [0.164, 0.836, 0.014], [0.164, 0.836, 0.486], [0.321, 0.349, 0.750], [0.321, 0.972, 0.750], [0.329, 0.164, 0.514], [0.329, 0.164, 0.986], [0.333, 0.667, 0.612], [0.333, 0.667, 0.888], [0.349, 0.028, 0.250], [0.349, 0.321, 0.250], [0.651, 0.679, 0.750], [0.651, 0.972, 0.750], [0.667, 0.333, 0.112], [0.667, 0.333, 0.388], [0.671, 0.836, 0.014], [0.671, 0.836, 0.486], [0.679, 0.028, 0.250], [0.679, 0.651, 0.250], [0.836, 0.164, 0.514], [0.836, 0.164, 0.986], [0.836, 0.671, 0.514], [0.836, 0.671, 0.986], [0.972, 0.321, 0.250], [0.972, 0.651, 0.250]]}

=====

[7]
{"formula": "Dy3GaFeS7", "functional": "PBEsol", "state": "optimized geometry", "space_group": "No. 173", "e_form_raw_ev_per_atom": -1.539, "lattice": [[9.286, 0.000, 0.000], [-4.643, 8.042, 0.000], [0.000, 0.000, 6.123]], "species": ["Dy", "Dy", "Dy", "Dy", "Dy", "Dy", "Ga", "Ga", "Fe", "Fe", "S", "S", "S", "S", "S", "S", "S", "S", "S", "S", "S", "S", "S", "S"], "frac_coords": [[0.169, 0.794, 0.000], [0.206, 0.375, 0.000], [0.375, 0.169, 0.500], [0.625, 0.831, 0.000], [0.794, 0.625, 0.500], [0.831, 0.206, 0.500], [0.333, 0.667, 0.427], [0.667, 0.333, 0.927], [0.000, 0.000, 0.349], [0.000, 0.000, 0.849], [0.079, 0.526, 0.276], [0.100, 0.882, 0.602], [0.118, 0.218, 0.602], [0.218, 0.100, 0.102], [0.333, 0.667, 0.791], [0.447, 0.921, 0.276], [0.474, 0.553, 0.276], [0.526, 0.447, 0.776], [0.553, 0.079, 0.776], [0.667, 0.333, 0.291], [0.782, 0.900, 0.602], [0.882, 0.782, 0.102], [0.900, 0.118, 0.102], [0.921, 0.474, 0.776]]}

=====

[8]
{"formula": "DyMnFeO5", "functional": "PBEsol", "state": "optimized geometry", "space_group": "No. 55", "e_form_raw_ev_per_atom": -2.229, "lattice": [[7.210, 0.000, 0.000], [0.000, 8.459, 0.000], [0.000, 0.000, 5.625]], "species": ["Dy", "Dy", "Dy", "Dy", "Mn", "Mn", "Mn", "Mn", "Fe", "Fe", "Fe", "Fe", "O", "O", "O", "O", "O", "O", "O", "O", "O", "O", "O", "O", "O", "O", "O", "O", "O", "O", "O", "O"], "frac_coords": [[0.135, 0.170, 0.000], [0.365, 0.670, 0.000], [0.635, 0.330, 0.000], [0.865, 0.830, 0.000], [0.000, 0.500, 0.252], [0.000, 0.500, 0.748], [0.500, 0.000, 0.252], [0.500, 0.000, 0.748], [0.109, 0.854, 0.500], [0.391, 0.354, 0.500], [0.609, 0.646, 0.500], [0.891, 0.146, 0.500], [0.000, 0.000, 0.266], [0.000, 0.000, 0.734], [0.101, 0.705, 0.242], [0.101, 0.705, 0.758], [0.153, 0.435, 0.500], [0.163, 0.444, 0.000], [0.337, 0.944, 0.000], [0.347, 0.935, 0.500], [0.399, 0.205, 0.242], [0.399, 0.205, 0.758], [0.500, 0.500, 0.266], [0.500, 0.500, 0.734], [0.601, 0.795, 0.242], [0.601, 0.795, 0.758], [0.653, 0.065, 0.500], [0.663, 0.056, 0.000], [0.837, 0.556, 0.000], [0.847, 0.565, 0.500], [0.899, 0.295, 0.242], [0.899, 0.295, 0.758]]}

=====

[9]
{"formula": "Dy2Fe17N3", "functional": "PBEsol", "state": "optimized geometry", "space_group": "No. 166", "e_form_raw_ev_per_atom": -0.264, "de_polymorph_mev_per_atom": 0, "lattice": [[4.225, 2.439, 4.105], [-4.225, 2.439, 4.105], [0.000, -4.878, 4.105]], "species": ["Dy", "Dy", "Fe", "Fe", "Fe", "Fe", "Fe", "Fe", "Fe", "Fe", "Fe", "Fe", "Fe", "Fe", "Fe", "Fe", "Fe", "Fe", "Fe", "N", "N", "N"], "frac_coords": [[0.158, 0.158, 0.158], [0.842, 0.842, 0.842], [0.000, 0.500, 0.500], [0.157, 0.157, 0.645], [0.157, 0.645, 0.157], [0.218, 0.500, 0.782], [0.218, 0.782, 0.500], [0.355, 0.843, 0.843], [0.405, 0.405, 0.405], [0.500, 0.000, 0.500], [0.500, 0.218, 0.782], [0.500, 0.500, 0.000], [0.500, 0.782, 0.218], [0.595, 0.595, 0.595], [0.645, 0.157, 0.157], [0.782, 0.218, 0.500], [0.782, 0.500, 0.218], [0.843, 0.355, 0.843], [0.843, 0.843, 0.355], [0.000, 0.000, 0.500], [0.000, 0.500, 0.000], [0.500, 0.000, 0.000]]}

=====

[10]
{"formula": "Dy2Fe17N3", "functional": "PBEsol", "state": "optimized geometry", "space_group": "No. 194", "e_form_raw_ev_per_atom": -0.262, "de_polymorph_mev_per_atom": 2, "lattice": [[8.453, 0.000, 0.000], [-4.227, 7.321, 0.000], [0.000, 0.000, 8.203]], "species": ["Dy", "Dy", "Dy", "Dy", "Fe", "Fe", "Fe", "Fe", "Fe", "Fe", "Fe", "Fe", "Fe", "Fe", "Fe", "Fe", "Fe", "Fe", "Fe", "Fe", "Fe", "Fe", "Fe", "Fe", "Fe", "Fe", "Fe", "Fe", "Fe", "Fe", "Fe", "Fe", "Fe", "Fe", "Fe", "Fe", "Fe", "Fe", "N", "N", "N", "N", "N", "N"], "frac_coords": [[0.000, 0.000, 0.250], [0.000, 0.000, 0.750], [0.333, 0.667, 0.250], [0.667, 0.333, 0.750], [0.000, 0.500, 0.000], [0.000, 0.500, 0.500], [0.054, 0.381, 0.750], [0.054, 0.673, 0.750], [0.169, 0.337, 0.020], [0.169, 0.337, 0.480], [0.169, 0.831, 0.020], [0.169, 0.831, 0.480], [0.327, 0.381, 0.750], [0.327, 0.946, 0.750], [0.333, 0.667, 0.608], [0.333, 0.667, 0.892], [0.337, 0.169, 0.520], [0.337, 0.169, 0.980], [0.381, 0.054, 0.250], [0.381, 0.327, 0.250], [0.500, 0.000, 0.000], [0.500, 0.000, 0.500], [0.500, 0.500, 0.000], [0.500, 0.500, 0.500], [0.619, 0.673, 0.750], [0.619, 0.946, 0.750], [0.663, 0.831, 0.020], [0.663, 0.831, 0.480], [0.667, 0.333, 0.108], [0.667, 0.333, 0.392], [0.673, 0.054, 0.250], [0.673, 0.619, 0.250], [0.831, 0.169, 0.520], [0.831, 0.169, 0.980], [0.831, 0.663, 0.520], [0.831, 0.663, 0.980], [0.946, 0.327, 0.250], [0.946, 0.619, 0.250], [0.165, 0.329, 0.250], [0.165, 0.835, 0.250], [0.329, 0.165, 0.750], [0.671, 0.835, 0.250], [0.835, 0.165, 0.750], [0.835, 0.671, 0.750]]}

=====

[11]
{"formula": "DyFeNi4", "functional": "PBEsol", "state": "optimized geometry", "formation_energy_mev_per_atom": -243.4, "space_group": "No. 187", "lattice": [[4.846, 0.000, 0.000], [-2.423, 4.197, 0.000], [0.000, 0.000, 3.882]], "species": ["Dy", "Fe", "Ni", "Ni", "Ni", "Ni"], "frac_coords": [[0.000, 0.000, 0.000], [0.667, 0.333, 0.000], [0.001, 0.500, 0.500], [0.333, 0.667, 0.000], [0.500, 0.500, 0.500], [0.500, 0.999, 0.500]]}

=====

[12]
{"formula": "Dy2Fe3Ni", "functional": "PBEsol", "state": "optimized geometry", "formation_energy_mev_per_atom": -148.1, "space_group": "No. 166", "lattice": [[2.479, 1.431, 4.228], [-2.479, 1.431, 4.228], [0.000, -2.862, 4.228]], "species": ["Dy", "Dy", "Fe", "Fe", "Fe", "Ni"], "frac_coords": [[0.124, 0.124, 0.124], [0.876, 0.876, 0.876], [0.000, 0.500, 0.500], [0.500, 0.000, 0.500], [0.500, 0.500, 0.000], [0.500, 0.500, 0.500]]}